Crystalline NaSr2FeO4 at its relaxed geometry, computed with PBE+U.

Total magnetization = 0.63 μB/atom
D(E_F) = 0.00 states/eV/cell
Calculated total energy = -45.8 eV/f.u.
Space-group type = C2/c, No. 15

The structure in POSCAR format:
```
NaSr2FeO4
1.0
6.813 0.095 -0.049
0.091 6.813 -0.049
-3.433 -3.436 4.946
Na Sr Fe O
2 4 2 8
direct
0.000 0.500 0.000
0.000 0.500 0.500
0.500 0.000 0.000
0.500 0.000 0.500
0.000 0.000 0.500
0.500 0.500 0.000
0.500 0.500 0.500
0.000 0.000 0.000
0.213 0.791 0.002
0.709 0.287 0.498
0.291 0.713 0.502
0.787 0.209 0.998
0.755 0.747 0.982
0.753 0.745 0.518
0.247 0.255 0.482
0.245 0.253 0.018
```